DFT (PBE) results for crystalline ScMoOsW at its relaxed geometry.

a b c (Å): 6.362 6.362 6.362
angles (deg): 90.00 90.00 90.00
Space group F-43m (No. 216)
Asymmetric unit:
Sc1 0.000 0.000 0.000 [4 per cell]
Mo1 0.250 0.250 0.250 [4 per cell]
Os1 0.250 0.250 0.750 [4 per cell]
W1 0.000 0.000 0.500 [4 per cell]

Output
- Fermi-level density of states (states/eV per atom) = 0.68
- energy relative to the elements (eV per atom) = -0.139
- total DFT energy (no corrections) (eV per atom) = -10.475